# 1
Below is a geometry-optimized MgScCu3Se4 structure, with properties calculated at the GGA-PBE level.

Its crystal system is cubic. The total energy comes out at -4.5387 eV/atom.

```
data_MgScCu3Se4
_symmetry_space_group_name_H-M 'P -4 3 m'
_symmetry_Int_Tables_number 215
_symmetry_space_group_name_Hall 'P -4 2 3'
_cell_length_a 5.8591
_cell_length_b 5.8591
_cell_length_c 5.8591
_cell_angle_alpha 90.00
_cell_angle_beta 90.00
_cell_angle_gamma 90.00
loop_
_atom_site_label
_atom_site_type_symbol
_atom_site_fract_x
_atom_site_fract_y
_atom_site_fract_z
Mg1 Mg 0.0000 0.0000 0.0000
Sc1 Sc 0.5000 0.5000 0.5000
Cu1 Cu 0.0000 0.5000 0.5000
Se1 Se 0.2521 0.2521 0.7479
```

---

# 2
Below is a geometry-optimized MgScCuSi structure, with properties calculated at the GGA-PBE level.

Its crystal system is cubic. The total energy comes out at -4.6665 eV/atom.

```
data_MgScCuSi
_symmetry_space_group_name_H-M 'F -4 3 m'
_symmetry_Int_Tables_number 216
_symmetry_space_group_name_Hall 'F -4 2 3'
_cell_length_a 6.4418
_cell_length_b 6.4418
_cell_length_c 6.4418
_cell_angle_alpha 90.00
_cell_angle_beta 90.00
_cell_angle_gamma 90.00
loop_
_atom_site_label
_atom_site_type_symbol
_atom_site_fract_x
_atom_site_fract_y
_atom_site_fract_z
Mg1 Mg 0.0000 0.0000 0.0000
Sc1 Sc 0.0000 0.0000 0.5000
Cu1 Cu 0.2500 0.2500 0.2500
Si1 Si 0.2500 0.2500 0.7500
```

---

# 3
Below is a geometry-optimized MgScCuSn structure, with properties calculated at the GGA-PBE level.

Its crystal system is cubic. The calculation puts the formation energy at -276.9 meV per atom.

```
data_MgScCuSn
_symmetry_space_group_name_H-M 'F -4 3 m'
_symmetry_Int_Tables_number 216
_symmetry_space_group_name_Hall 'F -4 2 3'
_cell_length_a 6.7908
_cell_length_b 6.7908
_cell_length_c 6.7908
_cell_angle_alpha 90.00
_cell_angle_beta 90.00
_cell_angle_gamma 90.00
loop_
_atom_site_label
_atom_site_type_symbol
_atom_site_fract_x
_atom_site_fract_y
_atom_site_fract_z
Mg1 Mg 0.0000 0.0000 0.0000
Sc1 Sc 0.0000 0.0000 0.5000
Cu1 Cu 0.2500 0.2500 0.2500
Sn1 Sn 0.2500 0.2500 0.7500
```

---

# 4
Below is a geometry-optimized MgScTlCu structure, with properties calculated at the GGA-PBE level.

Its crystal system is cubic. The calculation puts the formation energy at -161.0 meV per atom.

```
data_MgScTlCu
_symmetry_space_group_name_H-M 'F -4 3 m'
_symmetry_Int_Tables_number 216
_symmetry_space_group_name_Hall 'F -4 2 3'
_cell_length_a 6.8061
_cell_length_b 6.8061
_cell_length_c 6.8061
_cell_angle_alpha 90.00
_cell_angle_beta 90.00
_cell_angle_gamma 90.00
loop_
_atom_site_label
_atom_site_type_symbol
_atom_site_fract_x
_atom_site_fract_y
_atom_site_fract_z
Mg1 Mg 0.0000 0.0000 0.0000
Sc1 Sc 0.0000 0.0000 0.5000
Tl1 Tl 0.2500 0.2500 0.2500
Cu1 Cu 0.2500 0.2500 0.7500
```